Record 1
VASP calculation (PBE) on an optimized crystal structure of La5PrDy2Er.

Lattice parameters (Å, degrees): 9.565 9.565 14.175 90.00 90.00 90.00
Space group I4/mcm (No. 140)
Asymmetric unit:
La  0.000  0.000  0.000
La  0.201  0.299  0.134
Pr  0.000  0.000  0.250
Dy  0.108  0.392  0.500
Er  0.000  0.500  0.250

Computed properties:
The calculation puts the total moment at 0.0 μB/f.u. The calculated density is 6.80 g/cm³. For the total energy, the calculation gives -4.517 eV/atom.

---

Record 2
VASP calculation (PBE) on an optimized crystal structure of La2PrDy5Er.

Lattice parameters (Å, degrees): 8.714 8.714 15.810 90.00 90.00 90.00
Space group I4/mcm (No. 140)
Asymmetric unit:
La  0.117  0.383  0.000
Pr  0.000  0.000  0.250
Dy  0.000  0.000  0.000
Dy  0.215  0.285  0.359
Er  0.000  0.500  0.250

Computed properties:
The calculation puts the total moment at 0.0 μB/f.u. The calculated density is 7.74 g/cm³. For the total energy, the calculation gives -4.434 eV/atom.

---

Record 3
VASP calculation (PBE) on an optimized crystal structure of LaPr6Dy3Er2.

Lattice parameters (Å, degrees): 6.325 10.957 11.978 90.00 100.13 90.00
Space group C2/m (No. 12)
Asymmetric unit:
La  0.000  0.000  0.000
Pr  0.249  0.333  0.748
Pr  0.250  0.000  0.748
Dy  0.000  0.167  0.500
Dy  0.000  0.500  0.500
Er  0.000  0.333  0.000

Computed properties:
The calculation puts the total moment at 0.0 μB/f.u. The calculated density is 7.34 g/cm³. For the total energy, the calculation gives -4.695 eV/atom.